Record 1
# PBE Ac2Y4Sn3O2, optimized geometry
data_Ac2Y4Sn3O2
_cell_length_a 4.762
_cell_length_b 4.762
_cell_length_c 26.169
_cell_angle_alpha 90.00
_cell_angle_beta 90.00
_cell_angle_gamma 90.00
_symmetry_space_group_name_H-M 'I 4/m m m'
_symmetry_Int_Tables_number 139
_symmetry_space_group_name_Hall '-I 4 2'
loop_
_atom_site_label
_atom_site_fract_x
_atom_site_fract_y
_atom_site_fract_z
_atom_site_occupancy
Ac1 0.000 0.000 0.195 1
Y1 0.000 0.500 0.079 1
Sn1 0.000 0.000 0.333 1
Sn2 0.000 0.000 0.500 1
O1 0.000 0.000 0.090 1
# - E: -6.631 eV per atom
# - DOS(E_F): 13.6 states/eV per cell
# - Magnetization: 1.04 μB/f.u.
# - Uncorrected formation energy: -1.540 eV per atom

Record 2
# PBE AcZnSnO, optimized geometry
data_AcZnSnO
_cell_length_a 4.195
_cell_length_b 4.195
_cell_length_c 10.812
_cell_angle_alpha 90.00
_cell_angle_beta 90.00
_cell_angle_gamma 90.00
_symmetry_space_group_name_H-M 'P 4/n m m'
_symmetry_Int_Tables_number 129
loop_
_symmetry_equiv_pos_as_xyz
'x,y,z'
'-x,-y,-z'
'-y+1/2,x,z'
'y+1/2,-x,-z'
'-x+1/2,-y+1/2,z'
'x+1/2,y+1/2,-z'
'y,-x+1/2,z'
'-y,x+1/2,-z'
'x+1/2,-y,-z'
'-x+1/2,y,z'
'-y,-x,-z'
'y,x,z'
'-x,y+1/2,-z'
'x,-y+1/2,z'
'y+1/2,x+1/2,-z'
'-y+1/2,-x+1/2,z'
loop_
_atom_site_label
_atom_site_fract_x
_atom_site_fract_y
_atom_site_fract_z
_atom_site_occupancy
Ac1 0.250 0.250 0.120 1
Zn1 0.250 0.750 0.500 1
Sn1 0.250 0.250 0.672 1
O1 0.250 0.750 0.000 1
# - E: -5.172 eV per atom
# - DOS(E_F): 0.6 states/eV per cell
# - Magnetization: 0.00 μB/f.u.
# - Uncorrected formation energy: -1.586 eV per atom

Record 3
# PBE Ac2ZnSnO6, optimized geometry
data_Ac2ZnSnO6
_cell_length_a 5.825
_cell_length_b 5.885
_cell_length_c 10.097
_cell_angle_alpha 90.00
_cell_angle_beta 125.10
_cell_angle_gamma 90.00
_symmetry_space_group_name_H-M 'P 1 21/c 1'
_symmetry_Int_Tables_number 14
loop_
_symmetry_equiv_pos_as_xyz
'x,y,z'
'-x,-y,-z'
'-x,y+1/2,-z+1/2'
'x,-y+1/2,z+1/2'
loop_
_atom_site_label
_atom_site_fract_x
_atom_site_fract_y
_atom_site_fract_z
_atom_site_occupancy
Ac1 0.240 0.039 0.249 1
Zn1 0.000 0.000 0.500 1
Sn1 0.500 0.000 0.000 1
O1 0.172 0.209 0.956 1
O2 0.246 0.716 0.954 1
O3 0.336 0.023 0.753 1
# - E: -6.816 eV per atom
# - DOS(E_F): 0.0 states/eV per cell
# - Magnetization: 0.00 μB/f.u.
# - Uncorrected formation energy: -2.492 eV per atom

Record 4
# PBE AcZr2SnO8, optimized geometry
data_AcZr2SnO8
_cell_length_a 7.017
_cell_length_b 7.183
_cell_length_c 7.001
_cell_angle_alpha 90.00
_cell_angle_beta 90.00
_cell_angle_gamma 90.00
_symmetry_space_group_name_H-M 'C m m m'
_symmetry_Int_Tables_number 65
_symmetry_space_group_name_Hall '-C 2 2'
loop_
_atom_site_label
_atom_site_fract_x
_atom_site_fract_y
_atom_site_fract_z
_atom_site_occupancy
Ac1 0.000 0.000 0.000 1
Zr1 0.000 0.500 0.268 1
Sn1 0.000 0.000 0.500 1
O1 0.000 0.305 0.500 1
O2 0.000 0.336 0.000 1
O3 0.204 0.000 0.287 1
# - E: -8.036 eV per atom
# - DOS(E_F): 11.0 states/eV per cell
# - Magnetization: 0.92 μB/f.u.
# - Uncorrected formation energy: -2.630 eV per atom

Record 5
# PBE SrAcO2, optimized geometry
data_SrAcO2
_cell_length_a 3.6351
_cell_length_b 3.6351
_cell_length_c 19.6031
_cell_angle_alpha 90.00
_cell_angle_beta 90.00
_cell_angle_gamma 120.00
_symmetry_space_group_name_H-M 'R 3 m'
_symmetry_Int_Tables_number 160
_symmetry_space_group_name_Hall 'R 3 -2"'
loop_
_atom_site_label
_atom_site_fract_x
_atom_site_fract_y
_atom_site_fract_z
_atom_site_occupancy
Sr1 0.0000 0.0000 0.0000 1
Ac1 0.0000 0.0000 0.8273 1
O1 0.0000 0.0000 0.2458 1
O2 0.0000 0.0000 0.4091 1
# - E: -6.400 eV per atom
# - DOS(E_F): 5.5 states/eV per cell
# - Distance to the lowest polymorph of the same formula: 3.31 kcal/mol of atoms
# - Magnetization: 0.00 μB/f.u.
# - Uncorrected formation energy: -2.474 eV per atom

Record 6
# PBE SrAcO, optimized geometry
data_SrAcO
_cell_length_a 3.7980
_cell_length_b 3.7980
_cell_length_c 6.9247
_cell_angle_alpha 90.00
_cell_angle_beta 90.00
_cell_angle_gamma 120.00
_symmetry_space_group_name_H-M 'P 3 m 1'
_symmetry_Int_Tables_number 156
loop_
_symmetry_equiv_pos_as_xyz
'x,y,z'
'-y,x-y,z'
'-x+y,-x,z'
'-y,-x,z'
'-x+y,y,z'
'x,x-y,z'
loop_
_atom_site_label
_atom_site_fract_x
_atom_site_fract_y
_atom_site_fract_z
_atom_site_occupancy
Sr1 0.0000 0.0000 0.0000 1
Ac1 0.3333 0.6667 0.4437 1
O1 0.6667 0.3333 0.1908 1
# - E: -5.129 eV per atom
# - DOS(E_F): 3.6 states/eV per cell
# - Magnetization: 0.27 μB/f.u.
# - Uncorrected formation energy: -1.547 eV per atom

Record 7
# PBE SrAcO4, optimized geometry
data_SrAcO4
_cell_length_a 7.175
_cell_length_b 4.221
_cell_length_c 7.043
_cell_angle_alpha 90.00
_cell_angle_beta 97.11
_cell_angle_gamma 90.00
_symmetry_space_group_name_H-M 'C 1 m 1'
_symmetry_Int_Tables_number 8
loop_
_symmetry_equiv_pos_as_xyz
'x,y,z'
'x,-y,z'
'x+1/2,y+1/2,z'
'x+1/2,-y+1/2,z'
loop_
_atom_site_label
_atom_site_fract_x
_atom_site_fract_y
_atom_site_fract_z
_atom_site_occupancy
Sr1 0.000 0.000 0.000 1
Ac1 0.387 0.000 0.430 1
O1 0.043 0.000 0.371 1
O2 0.129 0.500 0.773 1
O3 0.271 0.500 0.658 1
O4 0.349 0.000 0.090 1
# - E: -6.578 eV per atom
# - DOS(E_F): 7.6 states/eV per cell
# - Magnetization: 1.02 μB/f.u.
# - Uncorrected formation energy: -2.308 eV per atom

Record 8
# PBE Sr2Ac2O5, optimized geometry
data_Sr2Ac2O5
_cell_length_a 12.453
_cell_length_b 7.068
_cell_length_c 7.140
_cell_angle_alpha 90.00
_cell_angle_beta 90.00
_cell_angle_gamma 90.00
_symmetry_space_group_name_H-M 'C m c e'
_symmetry_Int_Tables_number 64
_symmetry_space_group_name_Hall '-C 2ac 2'
loop_
_atom_site_label
_atom_site_fract_x
_atom_site_fract_y
_atom_site_fract_z
_atom_site_occupancy
Sr1 0.209 0.000 0.000 1
Ac1 0.000 0.168 0.333 1
O1 0.000 0.000 0.000 1
O2 0.132 0.158 0.648 1
# - E: -7.004 eV per atom
# - DOS(E_F): 0.0 states/eV per cell
# - Magnetization: 0.00 μB/f.u.
# - Uncorrected formation energy: -2.963 eV per atom

Record 9
# PBE SrAcO2, optimized geometry
data_SrAcO2
_cell_length_a 3.7059
_cell_length_b 3.7059
_cell_length_c 18.6735
_cell_angle_alpha 90.00
_cell_angle_beta 90.00
_cell_angle_gamma 120.00
_symmetry_space_group_name_H-M 'R -3 m'
_symmetry_Int_Tables_number 166
_symmetry_space_group_name_Hall '-R 3 2"'
loop_
_atom_site_label
_atom_site_fract_x
_atom_site_fract_y
_atom_site_fract_z
_atom_site_occupancy
Sr1 0.0000 0.0000 0.0000 1
Ac1 0.0000 0.0000 0.5000 1
O1 0.0000 0.0000 0.2528 1
# - E: -6.544 eV per atom
# - DOS(E_F): 2.5 states/eV per cell
# - Distance to the lowest polymorph of the same formula: 0.00 kcal/mol of atoms
# - Magnetization: 0.00 μB/f.u.
# - Uncorrected formation energy: -2.617 eV per atom

Record 10
# PBE Sr5AcO6, optimized geometry
data_Sr5AcO6
_cell_length_a 6.412
_cell_length_b 11.114
_cell_length_c 6.413
_cell_angle_alpha 90.00
_cell_angle_beta 109.41
_cell_angle_gamma 90.00
_symmetry_space_group_name_H-M 'C 1 2/m 1'
_symmetry_Int_Tables_number 12
loop_
_symmetry_equiv_pos_as_xyz
'x,y,z'
'-x,-y,-z'
'-x,y,-z'
'x,-y,z'
'x+1/2,y+1/2,z'
'-x+1/2,-y+1/2,-z'
'-x+1/2,y+1/2,-z'
'x+1/2,-y+1/2,z'
loop_
_atom_site_label
_atom_site_fract_x
_atom_site_fract_y
_atom_site_fract_z
_atom_site_occupancy
Sr1 0.000 0.000 0.000 1
Sr2 0.000 0.166 0.500 1
Sr3 0.000 0.331 0.000 1
Ac1 0.000 0.500 0.500 1
O1 0.246 0.500 0.253 1
O2 0.247 0.336 0.747 1
# - E: -6.209 eV per atom
# - DOS(E_F): 4.1 states/eV per cell
# - Magnetization: 0.00 μB/f.u.
# - Uncorrected formation energy: -2.687 eV per atom

Record 11
# PBE Sr2AcO3, optimized geometry
data_Sr2AcO3
_cell_length_a 3.725
_cell_length_b 5.251
_cell_length_c 11.188
_cell_angle_alpha 90.00
_cell_angle_beta 90.00
_cell_angle_gamma 90.00
_symmetry_space_group_name_H-M 'I m m m'
_symmetry_Int_Tables_number 71
_symmetry_space_group_name_Hall '-I 2 2'
loop_
_atom_site_label
_atom_site_fract_x
_atom_site_fract_y
_atom_site_fract_z
_atom_site_occupancy
Sr1 0.000 0.000 0.168 1
Ac1 0.000 0.000 0.500 1
O1 0.000 0.500 0.165 1
O2 0.000 0.500 0.500 1
# - E: -6.368 eV per atom
# - DOS(E_F): 2.2 states/eV per cell
# - Magnetization: 0.00 μB/f.u.
# - Uncorrected formation energy: -2.643 eV per atom

Record 12
# PBE Sr2AcTaO6, optimized geometry
data_Sr2AcTaO6
_cell_length_a 5.968
_cell_length_b 6.205
_cell_length_c 10.432
_cell_angle_alpha 90.00
_cell_angle_beta 124.56
_cell_angle_gamma 90.00
_symmetry_space_group_name_H-M 'P 1 21/c 1'
_symmetry_Int_Tables_number 14
loop_
_symmetry_equiv_pos_as_xyz
'x,y,z'
'-x,-y,-z'
'-x,y+1/2,-z+1/2'
'x,-y+1/2,z+1/2'
loop_
_atom_site_label
_atom_site_fract_x
_atom_site_fract_y
_atom_site_fract_z
_atom_site_occupancy
Sr1 0.241 0.047 0.255 1
Ac1 0.500 0.000 0.000 1
Ta1 0.000 0.000 0.500 1
O1 0.103 0.231 0.932 1
O2 0.226 0.677 0.951 1
O3 0.329 0.051 0.721 1
# - E: -7.971 eV per atom
# - DOS(E_F): 0.0 states/eV per cell
# - Magnetization: 0.00 μB/f.u.
# - Uncorrected formation energy: -3.063 eV per atom

- What is the DOS(E_F) in the ninth record?
  2.5 states/eV per cell

- Among the records above, which one has the highest magnetization?
  Ac2Y4Sn3O2

- Which value of E does entry 5 give?
  -6.400 eV per atom

- magnetization of number 3 (Ac2ZnSnO6)?
  0.00 μB/f.u.